# Ba5YSe6 | Alexandria via LeMat-Bulk | PBE | optimized geometry
# Formation energy (no corrections) (meV/atom): -1973
# Volume (A^3/atom): 34.38
data_Ba5YSe6
_chemical_formula_sum 'Ba10 Y2 Se12'
_cell_length_a 7.979
_cell_length_b 13.795
_cell_length_c 7.958
_cell_angle_alpha 90.00
_cell_angle_beta 109.60
_cell_angle_gamma 90.00
_symmetry_space_group_name_H-M 'C 1 2/m 1'
_symmetry_Int_Tables_number 12
loop_
_symmetry_equiv_pos_as_xyz
'x,y,z'
'-x,-y,-z'
'-x,y,-z'
'x,-y,z'
'x+1/2,y+1/2,z'
'-x+1/2,-y+1/2,-z'
'-x+1/2,y+1/2,-z'
'x+1/2,-y+1/2,z'
loop_
_atom_site_label
_atom_site_fract_x
_atom_site_fract_y
_atom_site_fract_z
Ba1 0.000 0.000 0.000
Ba2 0.000 0.166 0.500
Ba3 0.000 0.329 0.000
Y1 0.000 0.500 0.500
Se1 0.226 0.500 0.265
Se2 0.230 0.347 0.732